1.
! ScMn2P (meta-GGA SCAN, PBEsol geometry); values from VASP
&SYSTEM
  ibrav = 0, nat = 4, ntyp = 3
/
ATOMIC_SPECIES
P 30.97 P.upf
Sc 44.96 Sc.upf
Mn 54.94 Mn.upf
ATOMIC_POSITIONS angstrom
P -2.417 0.623 0.649
Sc -0.455 1.093 2.379
Mn 0.000 0.000 0.000
Mn -0.642 2.565 0.270
CELL_PARAMETERS angstrom
-2.603 2.095 -1.461
-2.230 -0.849 2.758
3.736 2.412 1.353
! E_tot	-1.14745	Ry/atom
! volume	12.86	Å³ per atom
! energy of formation from the pure elements	-1.30	eV/f.u.

***

2.
! Sc2Mn2P (meta-GGA SCAN, PBEsol geometry); values from VASP
&SYSTEM
  ibrav = 0, nat = 5, ntyp = 3
/
ATOMIC_SPECIES
Mn 54.94 Mn.upf
P 30.97 P.upf
Sc 44.96 Sc.upf
ATOMIC_POSITIONS angstrom
Mn -3.695 2.335 -0.865
Mn -2.420 -1.657 0.619
P 0.000 0.000 0.000
Sc -3.056 0.830 1.198
Sc -3.059 -0.153 -1.444
CELL_PARAMETERS angstrom
-1.578 -3.174 -1.826
-1.573 -1.208 3.459
-2.963 5.060 -1.879
! E_tot	-1.06632	Ry/atom
! volume	17.41	Å³ per atom
! energy of formation from the pure elements	2.84	eV/f.u.

***

3.
! ScMn2TlP (meta-GGA SCAN, PBEsol geometry); values from VASP
&SYSTEM
  ibrav = 0, nat = 5, ntyp = 4
/
ATOMIC_SPECIES
Sc 44.96 Sc.upf
Mn 54.94 Mn.upf
Tl 204.38 Tl.upf
P 30.97 P.upf
ATOMIC_POSITIONS angstrom
Sc -2.552 0.118 3.053
Mn -1.176 -1.695 0.591
Mn 0.638 0.266 2.032
Tl -2.014 1.547 0.430
P 0.000 0.000 0.000
CELL_PARAMETERS angstrom
-2.351 -3.390 1.182
1.276 0.532 4.063
-4.029 3.094 0.860
! E_tot	-1.95512	Ry/atom
! volume	18.98	Å³ per atom
! energy of formation from the pure elements	0.50	eV/f.u.

***

4.
! MnPSe3 (meta-GGA SCAN, PBEsol geometry); values from VASP
&SYSTEM
  ibrav = 0, nat = 10, ntyp = 3
/
ATOMIC_SPECIES
Mn 54.94 Mn.upf
Se 78.96 Se.upf
P 30.97 P.upf
ATOMIC_POSITIONS angstrom
Mn 9.346 5.396 3.327
Mn 3.115 1.799 3.316
Se 5.149 1.735 4.983
Se 4.077 3.603 1.660
Se 5.159 5.465 4.983
Se 8.384 3.592 4.983
Se 7.303 1.729 1.660
Se 7.312 5.460 1.660
P 6.231 3.597 2.209
P 6.231 3.597 4.434
CELL_PARAMETERS angstrom
6.231 0.000 0.000
3.115 5.396 0.000
3.115 1.799 6.643
! E_tot	-1.34235	Ry/atom
! volume	22.33	Å³ per atom
! energy relative to the elements, uncorrected	-0.4858	eV per atom